No. 1
Compound: SbH3F
Source: Alexandria via LeMat-Bulk
Functional: PBEsol
Structure: optimized geometry

Output
For the energy above the most stable polymorph in this dataset, the calculation gives 680 meV/atom. As for the uncorrected energy: -2.68 eV per atom. The volume comes out at 8.86 A^3/atom.

Unit cell a=3.538 b=3.538 c=3.538 alpha=90.00 beta=90.00 gamma=90.00
Space group Pm-3m (No. 221)
Inequivalent atoms, fractional coordinates:
Sb1 0.000 0.000 0.000
H1 0.000 0.500 0.500
F1 0.500 0.500 0.500

=====

No. 2
Compound: SbH2F
Source: Alexandria via LeMat-Bulk
Functional: PBEsol
Structure: optimized geometry

Output
As for the uncorrected energy: -3.39 eV per atom. The volume comes out at 9.27 A^3/atom.

Unit cell a=5.293 b=5.293 c=5.293 alpha=90.00 beta=90.00 gamma=90.00
Space group Fm-3m (No. 225)
Inequivalent atoms, fractional coordinates:
Sb1 0.000 0.000 0.000
H1 0.250 0.250 0.250
F1 0.000 0.000 0.500

=====

No. 3
Compound: SbHF2
Source: Alexandria via LeMat-Bulk
Functional: PBEsol
Structure: optimized geometry

Output
As for the uncorrected energy: -3.63 eV per atom. The volume comes out at 12.54 A^3/atom.

Unit cell a=3.0743 b=3.0743 c=18.3809 alpha=90.00 beta=90.00 gamma=120.00
Space group R-3m (No. 166, hexagonal axes)
Inequivalent atoms, fractional coordinates:
Sb1 0.0000 0.0000 0.0000
H1 0.0000 0.0000 0.5000
F1 0.0000 0.0000 0.1169

=====

No. 4
Compound: SbH3F
Source: Alexandria via LeMat-Bulk
Functional: PBEsol
Structure: optimized geometry

Output
For the energy above the most stable polymorph in this dataset, the calculation gives 0 meV/atom. As for the uncorrected energy: -3.36 eV per atom. The volume comes out at 10.08 A^3/atom.

Unit cell a=3.694 b=3.694 c=3.694 alpha=90.00 beta=90.00 gamma=90.00
Space group Pm-3m (No. 221)
Inequivalent atoms, fractional coordinates:
Sb1 0.000 0.000 0.000
H1 0.000 0.000 0.500
F1 0.500 0.500 0.500

=====

No. 5
Compound: Sb2HF13
Source: Alexandria via LeMat-Bulk
Functional: PBEsol
Structure: optimized geometry

Output
As for the uncorrected energy: -4.14 eV per atom. The volume comes out at 14.37 A^3/atom.

Unit cell a=5.475 b=6.335 c=7.208 alpha=111.13 beta=97.43 gamma=92.80
Space group P-1 (No. 2)
Inequivalent atoms, fractional coordinates:
Sb1 0.167 0.171 0.291
H1 0.500 0.500 0.000
F1 0.000 0.000 0.000
F2 0.036 0.429 0.266
F3 0.125 0.918 0.634
F4 0.307 0.897 0.255
F5 0.323 0.377 0.968
F6 0.356 0.327 0.544
F7 0.444 0.231 0.154

=====

No. 6
Compound: ScH3F
Source: Alexandria via LeMat-Bulk
Functional: PBEsol
Structure: optimized geometry

Output
As for the uncorrected energy: -3.47 eV per atom. The volume comes out at 8.40 A^3/atom.

Unit cell a=3.476 b=3.476 c=3.476 alpha=90.00 beta=90.00 gamma=90.00
Space group Pm-3m (No. 221)
Inequivalent atoms, fractional coordinates:
Sc1 0.000 0.000 0.000
H1 0.000 0.500 0.500
F1 0.500 0.500 0.500

=====

No. 7
Compound: Sc2HF
Source: Alexandria via LeMat-Bulk
Functional: PBEsol
Structure: optimized geometry

Output
As for the uncorrected energy: -5.51 eV per atom. The volume comes out at 14.84 A^3/atom.

Unit cell a=3.1389 b=3.1389 c=20.8706 alpha=90.00 beta=90.00 gamma=120.00
Space group R-3m (No. 166, hexagonal axes)
Inequivalent atoms, fractional coordinates:
Sc1 0.0000 0.0000 0.0863
H1 0.0000 0.0000 0.0000
F1 0.0000 0.0000 0.5000

=====

No. 8
Compound: HSe2F
Source: Alexandria via LeMat-Bulk
Functional: PBEsol
Structure: optimized geometry

Output
As for the uncorrected energy: -3.17 eV per atom. The volume comes out at 15.06 A^3/atom.

Unit cell a=4.129 b=4.129 c=14.129 alpha=90.00 beta=90.00 gamma=90.00
Space group I-42d (No. 122)
Inequivalent atoms, fractional coordinates:
H1 0.000 0.000 0.000
Se1 0.162 0.250 0.125
F1 0.000 0.000 0.500